6
Lattice="4.274 0.000 0.000 -2.137 3.701 0.000 0.000 0.000 7.635" Properties=species:S:1:pos:R:3 comment="TbCeAs2Rh2, relaxed, DFT PBE" volume_a3_per_cell=121 m_tot_mub_per_cell=0.00 formation_energy_kj_per_mol_atoms=-107 pbc="T T T"
Tb 0.000 0.000 0.000
Ce 0.000 0.000 3.817
As 0.000 2.468 5.749
As 2.137 1.234 1.885
Rh 0.000 2.468 1.900
Rh 2.137 1.234 5.735